DFT (PBE-GGA) results for crystalline Pm4SmDy2Ho2 at its relaxed geometry.

Computed properties:
energy of formation from the pure elements	0.154	eV/f.u.
DOS(E_F)	12.9	states/eV/f.u.
total moment	0.00	Bohr magnetons per cell

a b c (Å): 5.0762 8.0447 8.0366
angles (deg): 107.43 90.00 108.39
Positions (direct):
1 Ho 0.6677 0.3355 0.9996
2 Sm 0.0000 0.0000 0.0000
3 Pm 0.5545 0.1090 0.3320
4 Ho 0.3323 0.6645 0.0004
5 Pm 0.4455 0.8910 0.6680
6 Dy 0.8887 0.7773 0.3320
7 Pm 0.2228 0.4456 0.3323
8 Dy 0.1113 0.2227 0.6680
9 Pm 0.7772 0.5544 0.6677

---

DFT (PBE-GGA) results for crystalline PmSm2Dy2Ho at its relaxed geometry.

Computed properties:
energy of formation from the pure elements	1.592	eV/f.u.
DOS(E_F)	10.0	states/eV/f.u.
total moment	0.00	Bohr magnetons per cell

a b c (Å): 3.4064 6.5731 17.9522
angles (deg): 90.00 90.00 90.00
Positions (direct):
1 Sm 0.5000 0.7249 0.6860
2 Pm 0.5000 0.5000 0.5000
3 Sm 0.5000 0.2751 0.3140
4 Dy 0.5000 0.7782 0.3533
5 Pm 0.0000 0.0000 0.0000
6 Dy 0.0000 0.2782 0.1467
7 Ho 0.0000 0.0000 0.5000
8 Dy 0.5000 0.2218 0.6467
9 Ho 0.5000 0.5000 0.0000
10 Sm 0.0000 0.7751 0.1860
11 Sm 0.0000 0.2249 0.8140
12 Dy 0.0000 0.7218 0.8533

---

DFT (PBE-GGA) results for crystalline PmSmDyHo at its relaxed geometry.

Computed properties:
energy of formation from the pure elements	0.507	eV/f.u.
E above lowest polymorph	0.107	eV per atom
DOS(E_F)	8.6	states/eV/f.u.
total moment	0.00	Bohr magnetons per cell

a b c (Å): 5.7115 5.7115 5.7115
angles (deg): 60.00 60.00 60.00
Positions (direct):
1 Dy 0.5000 0.5000 0.5000
2 Sm 0.2500 0.2500 0.2500
3 Ho 0.0000 0.0000 0.0000
4 Pm 0.7500 0.7500 0.7500

---

DFT (PBE-GGA) results for crystalline Pm2SmDyHo5 at its relaxed geometry.

Computed properties:
energy of formation from the pure elements	2.425	eV/f.u.
DOS(E_F)	10.4	states/eV/f.u.
total moment	0.00	Bohr magnetons per cell

a b c (Å): 8.6776 8.6776 9.8726
angles (deg): 116.07 116.07 90.00
Positions (direct):
1 Ho 0.1517 0.0722 0.7239
2 Ho 0.3483 0.8483 0.2761
3 Ho 0.5000 0.5000 0.0000
4 Ho 0.6517 0.1517 0.7239
5 Dy 0.2500 0.7500 0.5000
6 Ho 0.5722 0.6517 0.7239
7 Ho 0.9278 0.4278 0.2761
8 Sm 0.7500 0.7500 0.5000
9 Ho 0.4278 0.3483 0.2761
10 Ho 0.0722 0.5722 0.7239
11 Pm 0.6167 0.1167 0.0000
12 Sm 0.2500 0.2500 0.5000
13 Dy 0.7500 0.2500 0.5000
14 Pm 0.1167 0.3833 0.0000
15 Pm 0.3833 0.8833 0.0000
16 Pm 0.8833 0.6167 0.0000
17 Ho 0.0000 0.0000 0.0000
18 Ho 0.8483 0.9278 0.2761

---

DFT (PBE-GGA) results for crystalline Pm2SmDyHo2 at its relaxed geometry.

Computed properties:
energy of formation from the pure elements	1.600	eV/f.u.
DOS(E_F)	9.8	states/eV/f.u.
total moment	0.00	Bohr magnetons per cell

a b c (Å): 3.3929 6.5908 18.0137
angles (deg): 90.00 90.00 90.00
Positions (direct):
1 Pm 0.0000 0.2285 0.8138
2 Pm 0.0000 0.7715 0.1862
3 Ho 0.0000 0.2726 0.1464
4 Ho 0.5000 0.7726 0.3536
5 Dy 0.5000 0.5000 0.5000
6 Pm 0.5000 0.2715 0.3138
7 Sm 0.5000 0.5000 0.0000
8 Ho 0.5000 0.2274 0.6464
9 Sm 0.0000 0.0000 0.5000
10 Ho 0.0000 0.7274 0.8536
11 Dy 0.0000 0.0000 0.0000
12 Pm 0.5000 0.7285 0.6862

---

DFT (PBE-GGA) results for crystalline Pm6Sm2DyHo3 at its relaxed geometry.

Computed properties:
energy of formation from the pure elements	0.161	eV/f.u.
DOS(E_F)	14.9	states/eV/f.u.
total moment	0.00	Bohr magnetons per cell

a b c (Å): 6.2541 6.2541 11.8996
angles (deg): 95.01 95.01 119.99
Positions (direct):
1 Pm 0.9159 0.5830 0.7478
2 Sm 0.6667 0.3333 0.0000
3 Pm 0.5830 0.9159 0.7478
4 Pm 0.0841 0.4170 0.2522
5 Pm 0.2487 0.2487 0.7477
6 Pm 0.7513 0.7513 0.2523
7 Pm 0.4170 0.0841 0.2522
8 Ho 0.5000 0.5000 0.5000
9 Sm 0.3333 0.6667 0.0000
10 Ho 0.1666 0.8334 0.5000
11 Dy 0.0000 0.0000 0.0000
12 Ho 0.8334 0.1666 0.5000

---

DFT (PBE-GGA) results for crystalline Pm4Sm2DyHo2 at its relaxed geometry.

Computed properties:
energy of formation from the pure elements	0.165	eV/f.u.
DOS(E_F)	13.8	states/eV/f.u.
total moment	0.01	Bohr magnetons per cell

a b c (Å): 5.1032 8.0726 8.0439
angles (deg): 107.56 90.00 108.43
Positions (direct):
1 Dy 0.0000 0.0000 0.0000
2 Ho 0.6669 0.3338 0.0000
3 Pm 0.5549 0.1099 0.3309
4 Sm 0.1115 0.2230 0.6690
5 Ho 0.3331 0.6662 0.0000
6 Pm 0.4451 0.8901 0.6691
7 Sm 0.8885 0.7770 0.3310
8 Pm 0.7780 0.5560 0.6689
9 Pm 0.2220 0.4440 0.3311

---

DFT (PBE-GGA) results for crystalline Pm3SmDy2Ho6 at its relaxed geometry.

Computed properties:
energy of formation from the pure elements	0.192	eV/f.u.
DOS(E_F)	14.8	states/eV/f.u.
total moment	0.00	Bohr magnetons per cell

a b c (Å): 6.1823 6.1823 11.7802
angles (deg): 95.00 95.00 119.97
Positions (direct):
1 Ho 0.0831 0.4168 0.2480
2 Ho 0.5832 0.9169 0.7520
3 Pm 0.8332 0.1668 0.5000
4 Ho 0.4168 0.0831 0.2480
5 Ho 0.2506 0.2506 0.7521
6 Dy 0.3333 0.6667 0.0000
7 Pm 0.5000 0.5000 0.5000
8 Ho 0.7494 0.7494 0.2479
9 Dy 0.6667 0.3333 0.0000
10 Sm 0.0000 0.0000 0.0000
11 Pm 0.1668 0.8332 0.5000
12 Ho 0.9169 0.5832 0.7520

---

DFT (PBE-GGA) results for crystalline PmSmDyHo at its relaxed geometry.

Computed properties:
energy of formation from the pure elements	0.080	eV/f.u.
E above lowest polymorph	0.000	eV per atom
DOS(E_F)	6.4	states/eV/f.u.
total moment	0.00	Bohr magnetons per cell

a b c (Å): 5.0400 5.0845 5.0843
angles (deg): 90.00 90.00 90.00
Positions (direct):
1 Sm 0.0000 0.0000 0.0000
2 Pm 0.0000 0.5000 0.5000
3 Ho 0.5000 0.5000 0.0000
4 Dy 0.5000 0.0000 0.5000

---

DFT (PBE-GGA) results for crystalline PmSm6Dy2Ho3 at its relaxed geometry.

Computed properties:
energy of formation from the pure elements	0.172	eV/f.u.
DOS(E_F)	14.6	states/eV/f.u.
total moment	0.00	Bohr magnetons per cell

a b c (Å): 6.2214 6.2214 11.8622
angles (deg): 95.00 95.00 119.98
Positions (direct):
1 Ho 0.1669 0.8331 0.5000
2 Sm 0.2496 0.2496 0.7485
3 Dy 0.3334 0.6666 0.0000
4 Ho 0.8331 0.1669 0.5000
5 Sm 0.7504 0.7504 0.2515
6 Sm 0.0842 0.4180 0.2516
7 Ho 0.5000 0.5000 0.5000
8 Dy 0.6666 0.3334 0.0000
9 Sm 0.9158 0.5820 0.7484
10 Pm 0.0000 0.0000 0.0000
11 Sm 0.5820 0.9158 0.7484
12 Sm 0.4180 0.0842 0.2516

---

DFT (PBE-GGA) results for crystalline Pm2Sm5DyHo at its relaxed geometry.

Computed properties:
energy of formation from the pure elements	2.513	eV/f.u.
DOS(E_F)	13.3	states/eV/f.u.
total moment	0.00	Bohr magnetons per cell

a b c (Å): 8.6473 8.6473 10.1552
angles (deg): 115.20 115.20 90.00
Positions (direct):
1 Ho 0.2500 0.7500 0.5000
2 Sm 0.0720 0.5720 0.7177
3 Sm 0.3543 0.8543 0.2823
4 Sm 0.4280 0.3543 0.2823
5 Sm 0.9280 0.4280 0.2823
6 Pm 0.1195 0.3805 0.0000
7 Pm 0.6195 0.1195 0.0000
8 Pm 0.8805 0.6195 0.0000
9 Dy 0.2500 0.2500 0.5000
10 Sm 0.6457 0.1457 0.7177
11 Ho 0.7500 0.2500 0.5000
12 Sm 0.0000 0.0000 0.0000
13 Sm 0.5720 0.6457 0.7177
14 Sm 0.5000 0.5000 0.0000
15 Sm 0.8543 0.9280 0.2823
16 Dy 0.7500 0.7500 0.5000
17 Sm 0.1457 0.0720 0.7177
18 Pm 0.3805 0.8805 0.0000

---

DFT (PBE-GGA) results for crystalline PmDyHoSn at its relaxed geometry.

Computed properties:
energy of formation from the pure elements	-0.846	eV/f.u.
DOS(E_F)	7.1	states/eV/f.u.
total moment	0.53	Bohr magnetons per cell

a b c (Å): 5.4307 5.4307 5.4307
angles (deg): 60.00 60.00 60.00
Last column: magnetic moment on the atom in μB.
Positions (direct):
1 Sn 0.2500 0.2500 0.2500  -0.01
2 Pm 0.7500 0.7500 0.7500  0.14
3 Ho 0.0000 0.0000 0.0000  0.12
4 Dy 0.5000 0.5000 0.5000  0.12